The following is a GGA-PBE calculation of a geometry-optimized CuSeIO2 structure, from the Alexandria database.

Summary:
Its offset from the most stable computed form is 0.000 eV/atom. As for the raw total energy: -3.764 eV per atom. Its density is 4.49 g cm⁻³. The space group is P4/mmm. Its formation energy from raw total energies is 45.7 meV per atom.

a = 3.8086 Å, b = 3.8086 Å, c = 7.6823 Å
α = 90.00°, β = 90.00°, γ = 90.00°
Last column: nearest neighbours and their distance in Å.
Fractional positions:
1 O 0.0000 0.5000 0.0000  2 Se 1.90
2 O 0.5000 0.0000 0.0000  2 Se 1.90
3 Se 0.0000 0.0000 0.0000  4 O 1.90
4 I 0.0000 0.0000 0.5000  4 Cu 2.69
5 Cu 0.5000 0.5000 0.5000  4 I 2.69